Record 1
LiMn2Tl | Alexandria | GGA-PBEsol | relaxed; formation energy from the elements = 0.4213 eV/atom
1.0
-1.9483 1.9483 4.0622
1.9483 -1.9483 4.0622
1.9483 1.9483 -4.0622
Li Mn Tl
1 2 1
direct
0.0000 0.0000 0.0000
0.2500 0.7500 0.5000
0.7500 0.2500 0.5000
0.5000 0.5000 0.0000

***

Record 2
LiMn2Tl2 | Alexandria | GGA-PBEsol | relaxed; formation energy from the elements = 0.3570 eV/atom
1.0
-1.5762 1.5762 8.9273
1.5762 -1.5762 8.9273
1.5762 1.5762 -8.9273
Li Mn Tl
1 2 2
direct
0.0000 0.0000 0.0000
0.2500 0.7500 0.5000
0.7500 0.2500 0.5000
0.3829 0.3829 0.0000
0.6171 0.6171 0.0000

***

Record 3
LiMnTl4 | Alexandria | GGA-PBEsol | relaxed; formation energy from the elements = 0.4783 eV/atom
1.0
0.0000 4.3585 4.3585
4.3585 0.0000 4.3585
4.3585 4.3585 0.0000
Li Mn Tl
1 1 4
direct
0.0000 0.0000 0.0000
0.7500 0.7500 0.7500
0.3752 0.3752 0.3752
0.3752 0.3752 0.8744
0.3752 0.8744 0.3752
0.8744 0.3752 0.3752

***

Record 4
LiMnW | Alexandria | GGA-PBEsol | relaxed; formation energy from the elements = 1.2928 eV/atom; offset from the most stable computed form = 889 meV per atom
1.0
0.0000 2.8134 2.8134
2.8134 0.0000 2.8134
2.8134 2.8134 0.0000
Li Mn W
1 1 1
direct
0.0000 0.0000 0.0000
0.5000 0.5000 0.5000
0.7500 0.7500 0.7500

***

Record 5
LiMnW | Alexandria | GGA-PBEsol | relaxed; formation energy from the elements = 0.4043 eV/atom; offset from the most stable computed form = 0 meV per atom
1.0
4.1434 0.0000 0.0000
-2.0717 3.5883 0.0000
0.0000 0.0000 2.5211
Li Mn W
1 1 1
direct
0.0000 0.0000 0.0000
0.3333 0.6667 0.6880
0.6667 0.3333 0.3888

***

Record 6
Li4YMn | Alexandria | GGA-PBEsol | relaxed; formation energy from the elements = 0.2974 eV/atom
1.0
0.0000 3.8188 3.8188
3.8188 0.0000 3.8188
3.8188 3.8188 0.0000
Li Y Mn
4 1 1
direct
0.1226 0.1226 0.1226
0.1226 0.1226 0.6323
0.1226 0.6323 0.1226
0.6323 0.1226 0.1226
0.5000 0.5000 0.5000
0.7500 0.7500 0.7500

***

Record 7
Li2MnZn | Alexandria | GGA-PBEsol | relaxed; formation energy from the elements = 0.2043 eV/atom
1.0
2.6077 -4.6435 0.0000
2.6077 4.6435 0.0000
-1.1822 0.0000 2.3439
Li Mn Zn
2 1 1
direct
0.0000 0.5000 0.0000
0.5000 0.0000 0.0000
0.0000 0.0000 0.5000
0.5000 0.5000 0.5000

***

Record 8
LiMnZn2 | Alexandria | GGA-PBEsol | relaxed; formation energy from the elements = 0.0554 eV/atom
1.0
0.0000 2.9845 2.9845
2.9845 0.0000 2.9845
2.9845 2.9845 0.0000
Li Mn Zn
1 1 2
direct
0.0000 0.0000 0.0000
0.7500 0.7500 0.7500
0.2500 0.2500 0.2500
0.5000 0.5000 0.5000

***

Record 9
LiMn2Zn | Alexandria | GGA-PBEsol | relaxed; formation energy from the elements = 0.1321 eV/atom
1.0
2.7623 0.0000 0.0000
0.0000 2.7623 0.0000
0.0000 0.0000 6.1782
Li Mn Zn
1 2 1
direct
0.0000 0.0000 0.0000
0.0000 0.0000 0.4583
0.5000 0.5000 0.2807
0.5000 0.5000 0.7343

***

Record 10
LiMnZn2 | Alexandria | GGA-PBEsol | relaxed; formation energy from the elements = -0.0097 eV/atom
1.0
2.6813 0.0000 0.0000
0.0000 2.6813 0.0000
0.0000 0.0000 7.4126
Li Mn Zn
1 1 2
direct
0.0000 0.0000 0.0000
0.0000 0.0000 0.5000
0.5000 0.5000 0.2629
0.5000 0.5000 0.7371

***

Record 11
Li2MnZn | Alexandria | GGA-PBEsol | relaxed; formation energy from the elements = 0.2255 eV/atom
1.0
1.2469 0.7199 9.1651
-1.2469 0.7199 9.1651
0.0000 -1.4397 9.1651
Li Mn Zn
2 1 1
direct
0.2462 0.2462 0.2462
0.7538 0.7538 0.7538
0.5000 0.5000 0.5000
0.0000 0.0000 0.0000

***

Record 12
LiMnZn2 | Alexandria | GGA-PBEsol | relaxed; formation energy from the elements = 0.1029 eV/atom
1.0
2.5786 0.0000 0.0000
0.0000 3.9895 0.0000
0.0000 0.0000 5.2330
Li Mn Zn
1 1 2
direct
0.0000 0.0000 0.0000
0.5000 0.5000 0.2711
0.0000 0.0000 0.4930
0.5000 0.5000 0.7665